(one)
SmCoNO: optimized geometry, PBE with a Hubbard U.

a = 3.7587 Å, b = 3.7587 Å, c = 7.2887 Å
α = 90.00°, β = 90.00°, γ = 90.00°
With the nearest neighbours (Å) after each atom.
Space group P4/nmm (No. 129, origin choice 2)
Inequivalent atoms, fractional coordinates:
Sm: 0.2500 0.2500 0.1698 [2 per cell]  4 O 2.25
Co: 0.2500 0.7500 0.5000 [2 per cell]  4 N 1.96
N: 0.2500 0.2500 0.5779 [2 per cell]  4 Co 1.96
O: 0.2500 0.7500 0.0000 [2 per cell]  4 Sm 2.25

Output
* ρ: 7.72 g cm⁻³



(two)
SmCoNO: optimized geometry, PBE with a Hubbard U.

a = 3.4534 Å, b = 5.5876 Å, c = 5.6989 Å
α = 90.00°, β = 90.00°, γ = 90.00°
With the nearest neighbours (Å) after each atom.
Space group Pmc2_1 (No. 26)
Inequivalent atoms, fractional coordinates:
Sm: 0.0000 0.2061 0.0000 [2 per cell]  2 O 2.29-2.42, 2 N 2.40
Co: 0.5000 0.2485 0.5267 [2 per cell]  2 N 1.94-2.09, 2 O 2.00
N: 0.5000 0.0486 0.2493 [2 per cell]  2 Co 1.94-2.09
O: 0.0000 0.4027 0.6211 [2 per cell]  2 Co 2.00

Output
* ρ: 7.23 g cm⁻³



(three)
SmCoNO: optimized geometry, PBE with a Hubbard U.

a = 4.8984 Å, b = 4.8984 Å, c = 4.4382 Å
α = 90.00°, β = 90.00°, γ = 90.00°
With the nearest neighbours (Å) after each atom.
Space group P4/nmm (No. 129, origin choice 2)
Inequivalent atoms, fractional coordinates:
Sm: 0.2500 0.7500 0.0000 [2 per cell]  2 O 2.22, 4 N 2.45
Co: 0.2500 0.2500 0.4982 [2 per cell]  2 N 2.20-2.24, 4 O 2.45
N: 0.2500 0.2500 0.0025 [2 per cell]  2 Co 2.20-2.24, 4 Sm 2.45
O: 0.2500 0.7500 0.5000 [2 per cell]  2 Sm 2.22, 4 Co 2.45

Output
* ρ: 7.46 g cm⁻³



So which one is most stable? That would be (two), about 20 meV per atom below the next structure.



(one)
CoSnNO: optimized geometry, PBE with a Hubbard U.

a = 5.4935 Å, b = 8.3935 Å, c = 5.0205 Å
α = 90.00°, β = 90.00°, γ = 90.00°
With the nearest neighbours (Å) after each atom.
Space group Pca2_1 (No. 29)
Inequivalent atoms, fractional coordinates:
Co: 0.0636 0.0796 0.0000 [4 per cell]  3 N 1.88-1.91, 1 O 1.93
Sn: 0.0293 0.6638 0.0150 [4 per cell]  2 O 2.12-2.13, 1 N 2.21
N: 0.1104 0.0986 0.6247 [4 per cell]  3 Co 1.88-1.91
O: 0.1108 0.7338 0.6188 [4 per cell]  1 Co 1.93, 2 Sn 2.12-2.13

Output
* ρ: 5.96 g cm⁻³



(two)
CoSnNO: optimized geometry, PBE with a Hubbard U.

a = 3.7254 Å, b = 3.7254 Å, c = 9.0186 Å
α = 90.00°, β = 90.00°, γ = 90.00°
With the nearest neighbours (Å) after each atom.
Space group P4/nmm (No. 129, origin choice 2)
Inequivalent atoms, fractional coordinates:
Co: 0.2500 0.7500 0.0000 [2 per cell]  4 N 1.92
Sn: 0.2500 0.2500 0.3664 [2 per cell]  4 O 2.22
N: 0.2500 0.2500 0.9494 [2 per cell]  4 Co 1.92
O: 0.2500 0.7500 0.5000 [2 per cell]  4 Sn 2.22

Output
* ρ: 5.51 g cm⁻³



(three)
CoSnNO: optimized geometry, PBE with a Hubbard U.

a = 3.3751 Å, b = 6.0273 Å, c = 5.6204 Å
α = 90.00°, β = 90.00°, γ = 90.00°
With the nearest neighbours (Å) after each atom.
Space group Pmc2_1 (No. 26)
Inequivalent atoms, fractional coordinates:
Co: 0.0000 0.1455 0.0000 [2 per cell]  2 N 1.99-2.01, 2 O 2.06
Sn: 0.5000 0.3354 0.4831 [2 per cell]  2 N 2.12, 2 O 2.18-2.28
N: 0.0000 0.1574 0.3573 [2 per cell]  2 Co 1.99-2.01, 2 Sn 2.12
O: 0.5000 0.3008 0.8699 [2 per cell]  2 Co 2.06, 2 Sn 2.18-2.28

Output
* ρ: 6.03 g cm⁻³



(four)
CoSnNO: optimized geometry, PBE with a Hubbard U.

a = 3.5618 Å, b = 5.7900 Å, c = 5.5517 Å
α = 90.00°, β = 90.00°, γ = 90.00°
With the nearest neighbours (Å) after each atom.
Space group Pmc2_1 (No. 26)
Inequivalent atoms, fractional coordinates:
Co: 0.0000 0.1788 0.0000 [2 per cell]  2 N 2.05, 2 O 2.09
Sn: 0.5000 0.3226 0.5113 [2 per cell]  2 N 2.14-2.15, 2 O 2.15
N: 0.5000 0.3235 0.8983 [2 per cell]  2 Co 2.05, 2 Sn 2.14-2.15
O: 0.0000 0.1614 0.3759 [2 per cell]  2 Co 2.09, 2 Sn 2.15

Output
* ρ: 6.02 g cm⁻³



So which one is most stable? That would be (one), about 19 meV per atom below the next structure.



(one)
SrCoNO: optimized geometry, PBE with a Hubbard U.

a = 5.5854 Å, b = 5.6308 Å, c = 8.4321 Å
α = 90.00°, β = 90.00°, γ = 90.00°
With the nearest neighbours (Å) after each atom.
Space group Cmme (No. 67)
Inequivalent atoms, fractional coordinates:
Sr: 0.0000 0.2500 0.1477 [4 per cell]  4 O 2.34
Co: 0.2500 0.0000 0.5000 [4 per cell]  4 N 1.99
N: 0.0000 0.2500 0.4854 [4 per cell]  4 Co 1.99
O: 0.2500 0.0000 0.0000 [4 per cell]  4 Sr 2.34

Output
* ρ: 4.42 g cm⁻³



(two)
SrCoNO: optimized geometry, PBE with a Hubbard U.

a = 5.2294 Å, b = 7.6116 Å, c = 5.2264 Å
α = 90.00°, β = 90.00°, γ = 90.00°
With the nearest neighbours (Å) after each atom.
Space group Pca2_1 (No. 29)
Inequivalent atoms, fractional coordinates:
Sr: 0.0112 0.1743 0.0000 [4 per cell]  5 O 2.46-2.66
Co: 0.0183 0.5867 0.0003 [4 per cell]  4 N 1.91-2.05, 1 O 2.01
N: 0.2345 0.4823 0.2523 [4 per cell]  4 Co 1.91-2.05
O: 0.0130 0.8513 0.0070 [4 per cell]  1 Co 2.01

Output
* ρ: 5.64 g cm⁻³



So which one is most stable? That would be (two), about 267 meV per atom below the next structure.